(1)
First-principles (PBE) data for crystalline Ce2PrIr9 at its relaxed geometry, as listed in the Alexandria database.

Unit cell a=5.3509 b=5.3509 c=9.3634 alpha=73.40 beta=73.40 gamma=60.00
Last column: nearest neighbours and their distance in Å.
Fractional positions:
Ce  0.8610  0.8610  0.4171  12 Ir 3.07-3.34, 3 Ce 3.42
Ce  0.1390  0.1390  0.5829  12 Ir 3.07-3.34, 3 Ce 3.42
Pr  0.0000  0.0000  0.0000  18 Ir 3.09-3.45
Ir  0.6672  0.6672  0.9985  6 Ir 2.66-2.69
Ir  0.3328  0.3328  0.0015  6 Ir 2.66-2.69
Ir  0.5000  0.5000  0.5000  6 Ir 2.72
Ir  0.4174  0.4174  0.2471  7 Ir 2.66-2.72
Ir  0.9182  0.4174  0.2471  7 Ir 2.66-2.72
Ir  0.4174  0.9182  0.2471  7 Ir 2.66-2.72
Ir  0.5826  0.5826  0.7529  7 Ir 2.66-2.72
Ir  0.5826  0.0818  0.7529  7 Ir 2.66-2.72
Ir  0.0818  0.5826  0.7529  7 Ir 2.66-2.72

Space-group type: No. 166
Calculated total energy: -0.632 Ry/atom
Total magnetic moment: 0.000 μB/f.u.
Fermi-level density of states: 0.90 states/eV/atom
Energy of formation from the pure elements: -572 meV per atom

(2)
First-principles (PBE) data for crystalline Ce3PrIr8 at its relaxed geometry, as listed in the Alexandria database.

Unit cell a=5.4216 b=5.4216 c=8.8157 alpha=90.00 beta=90.00 gamma=120.00
Last column: nearest neighbours and their distance in Å.
Fractional positions:
Ce  0.6667  0.3333  0.4255  1 Ce 3.13, 12 Ir 3.13-3.27, 3 Pr 3.37
Ce  0.6667  0.3333  0.0707  4 Ce 3.13-3.36, 12 Ir 3.13-3.20
Ce  0.0000  0.0000  0.9329  12 Ir 3.14-3.18, 1 Pr 3.21, 3 Ce 3.36
Pr  0.0000  0.0000  0.5683  12 Ir 3.16-3.22, 4 Ce 3.21-3.37
Ir  0.3333  0.6667  0.5012  6 Ir 2.73-2.74
Ir  0.3333  0.6667  0.9992  6 Ir 2.69-2.70
Ir  0.5027  0.0054  0.7528  6 Ir 2.67-2.75
Ir  0.5027  0.4973  0.7528  6 Ir 2.67-2.75
Ir  0.9946  0.4973  0.7528  6 Ir 2.67-2.75
Ir  0.1650  0.3299  0.2480  6 Ir 2.68-2.74
Ir  0.1650  0.8350  0.2480  6 Ir 2.68-2.74
Ir  0.6701  0.8350  0.2480  6 Ir 2.68-2.74

Space-group type: No. 156
Calculated total energy: -0.624 Ry/atom
Total magnetic moment: 0.999 μB/f.u.
Fermi-level density of states: 1.51 states/eV/atom
Energy of formation from the pure elements: -698 meV per atom
Energy above the most stable polymorph in this dataset: 1.07 kcal/mol of atoms

(3)
First-principles (PBE) data for crystalline CePr3Ir3 at its relaxed geometry, as listed in the Alexandria database.

Unit cell a=7.7291 b=7.7291 c=7.7291 alpha=67.50 beta=67.50 gamma=67.50
Last column: nearest neighbours and their distance in Å.
Fractional positions:
Ce  0.3217  0.3217  0.3217  3 Ir 2.73
Ce  0.6783  0.6783  0.6783  3 Ir 2.73
Pr  0.8175  0.3668  0.1225  5 Ir 2.95-3.09
Pr  0.1225  0.8175  0.3668  5 Ir 2.95-3.09
Pr  0.3668  0.1225  0.8175  5 Ir 2.95-3.09
Pr  0.6332  0.8775  0.1825  5 Ir 2.95-3.09
Pr  0.8775  0.1825  0.6332  5 Ir 2.95-3.09
Pr  0.1825  0.6332  0.8775  5 Ir 2.95-3.09
Ir  0.5493  0.3124  0.9524  1 Ce 2.73, 3 Pr 2.95-3.05, 1 Ir 3.01
Ir  0.3124  0.9524  0.5493  1 Ce 2.73, 3 Pr 2.95-3.05, 1 Ir 3.01
Ir  0.9524  0.5493  0.3124  1 Ce 2.73, 3 Pr 2.95-3.05, 1 Ir 3.01
Ir  0.0476  0.4507  0.6876  1 Ce 2.73, 3 Pr 2.95-3.05, 1 Ir 3.01
Ir  0.6876  0.0476  0.4507  1 Ce 2.73, 3 Pr 2.95-3.05, 1 Ir 3.01
Ir  0.4507  0.6876  0.0476  1 Ce 2.73, 3 Pr 2.95-3.05, 1 Ir 3.01

Space-group type: No. 148
Calculated total energy: -0.536 Ry/atom
Total magnetic moment: 0.000 μB/f.u.
Fermi-level density of states: 0.85 states/eV/atom
Energy of formation from the pure elements: -604 meV per atom
Energy above the most stable polymorph in this dataset: 0.00 kcal/mol of atoms

(4)
First-principles (PBE) data for crystalline CePr3Ir2 at its relaxed geometry, as listed in the Alexandria database.

Unit cell a=4.3885 b=8.6585 c=10.6988 alpha=68.72 beta=78.17 gamma=75.32
Last column: nearest neighbours and their distance in Å.
Fractional positions:
Ce  0.4346  0.4713  0.6596  3 Ir 2.79
Ce  0.5654  0.5287  0.3404  3 Ir 2.79
Pr  0.0569  0.0997  0.7866  3 Ir 2.95-2.97
Pr  0.9431  0.9003  0.2134  3 Ir 2.95-2.97
Pr  0.6683  0.6888  0.9746  3 Ir 2.94-3.00
Pr  0.3317  0.3112  0.0254  3 Ir 2.94-3.00
Pr  0.7908  0.8219  0.5965  3 Ir 2.92-2.96
Pr  0.2092  0.1781  0.4035  3 Ir 2.92-2.96
Ir  0.8683  0.4321  0.8313  2 Ce 2.79, 4 Pr 2.94-3.00
Ir  0.1317  0.5679  0.1687  2 Ce 2.79, 4 Pr 2.94-3.00
Ir  0.6168  0.1789  0.5875  1 Ce 2.79, 5 Pr 2.92-2.96
Ir  0.3832  0.8211  0.4125  1 Ce 2.79, 5 Pr 2.92-2.96

Space-group type: No. 12
Calculated total energy: -0.502 Ry/atom
Total magnetic moment: 0.839 μB/f.u.
Fermi-level density of states: 1.71 states/eV/atom
Energy of formation from the pure elements: -500 meV per atom

(5)
First-principles (PBE) data for crystalline CePr5Ir4 at its relaxed geometry, as listed in the Alexandria database.

Unit cell a=4.2219 b=8.0181 c=9.2785 alpha=105.82 beta=103.15 gamma=90.00
Last column: nearest neighbours and their distance in Å.
Fractional positions:
Ce  0.5000  0.0000  0.0000  6 Ir 2.88-2.92
Pr  0.8369  0.6576  0.6738  3 Ir 2.83-2.84
Pr  0.8326  0.1386  0.6653  4 Ir 2.90-2.92
Pr  0.1674  0.8614  0.3347  4 Ir 2.90-2.92
Pr  0.5000  0.5000  0.0000  4 Ir 2.94
Pr  0.1631  0.3424  0.3262  3 Ir 2.83-2.84
Ir  0.3319  0.8891  0.6638  5 Pr 2.83-2.92, 1 Ce 2.92
Ir  0.0004  0.7554  0.0008  4 Pr 2.84-2.94, 2 Ce 2.88
Ir  0.6681  0.1109  0.3362  5 Pr 2.83-2.92, 1 Ce 2.92
Ir  0.9996  0.2446  0.9992  4 Pr 2.84-2.94, 2 Ce 2.88

Space-group type: No. 12
Calculated total energy: -0.518 Ry/atom
Total magnetic moment: 0.000 μB/f.u.
Fermi-level density of states: 0.72 states/eV/atom
Energy of formation from the pure elements: -524 meV per atom

(6)
First-principles (PBE) data for crystalline Ce5PrIr4 at its relaxed geometry, as listed in the Alexandria database.

Unit cell a=4.2591 b=7.6454 c=9.4480 alpha=113.82 beta=103.03 gamma=90.00
Last column: nearest neighbours and their distance in Å.
Fractional positions:
Ce  0.8338  0.5926  0.6677  4 Ir 2.80-2.99
Ce  0.8338  0.0755  0.6676  4 Ir 2.80-2.99
Ce  0.1662  0.9245  0.3324  4 Ir 2.80-2.99
Ce  0.5000  0.5000  0.0000  4 Ir 2.73
Ce  0.1662  0.4074  0.3323  4 Ir 2.80-2.99
Pr  0.5000  0.0000  0.0000  6 Ir 3.00-3.35
Ir  0.3001  0.8002  0.6003  6 Ce 2.87-2.99
Ir  0.0001  0.7243  0.0002  4 Ce 2.73-2.80, 2 Pr 3.00
Ir  0.6999  0.1998  0.3997  6 Ce 2.87-2.99
Ir  0.9999  0.2757  0.9998  4 Ce 2.73-2.80, 2 Pr 3.00

Space-group type: No. 12
Calculated total energy: -0.554 Ry/atom
Total magnetic moment: 3.430 μB/f.u.
Fermi-level density of states: 2.57 states/eV/atom
Energy of formation from the pure elements: -554 meV per atom

(7)
First-principles (PBE) data for crystalline CePrIr at its relaxed geometry, as listed in the Alexandria database.

Unit cell a=3.6507 b=3.6507 c=6.0997 alpha=107.41 beta=107.41 gamma=90.00
Last column: nearest neighbours and their distance in Å.
Fractional positions:
Pr  0.9911  0.9911  0.9822  5 Ir 3.25-3.56, 5 Ce 3.27-3.43
Ir  0.3132  0.3132  0.6264  4 Ce 2.89
Ce  0.6957  0.6957  0.3914  4 Ir 2.89

Space-group type: No. 107
Calculated total energy: -0.510 Ry/atom
Total magnetic moment: 0.000 μB/f.u.
Fermi-level density of states: 1.28 states/eV/atom
Energy of formation from the pure elements: -413 meV per atom
Energy above the most stable polymorph in this dataset: 2.55 kcal/mol of atoms

(8)
First-principles (PBE) data for crystalline CePrIr at its relaxed geometry, as listed in the Alexandria database.

Unit cell a=3.9498 b=4.8712 c=8.1203 alpha=90.02 beta=89.96 gamma=90.01
Last column: nearest neighbours and their distance in Å.
Fractional positions:
Ce  0.8155  0.3647  0.8765  2 Ir 2.72-2.73
Ce  0.3116  0.8683  0.9627  2 Ir 2.72-2.73
Pr  0.8134  0.8662  0.5535  5 Ir 2.92-3.23
Pr  0.3138  0.3667  0.2857  5 Ir 2.92-3.23
Ir  0.8123  0.8659  0.1939  2 Ce 2.72-2.73, 1 Pr 2.92
Ir  0.3149  0.3671  0.6454  2 Ce 2.72-2.73, 1 Pr 2.92

Space-group type: No. 2
Calculated total energy: -0.516 Ry/atom
Total magnetic moment: 0.341 μB/f.u.
Fermi-level density of states: 1.65 states/eV/atom
Energy of formation from the pure elements: -492 meV per atom
Energy above the most stable polymorph in this dataset: 0.72 kcal/mol of atoms

(9)
First-principles (PBE) data for crystalline Ce5Pr2Ir4 at its relaxed geometry, as listed in the Alexandria database.

Unit cell a=6.1574 b=6.6393 c=8.6211 alpha=63.47 beta=69.08 gamma=62.37
Last column: nearest neighbours and their distance in Å.
Fractional positions:
Ce  0.1213  0.2512  0.9564  1 Ir 2.63, 2 Ce 2.77-2.80
Ce  0.8787  0.7488  0.0436  1 Ir 2.63, 2 Ce 2.77-2.80
Ce  0.0000  0.5000  0.5000  2 Ir 2.62
Ce  0.6710  0.2512  0.9564  1 Ir 2.63, 2 Ce 2.77-2.80
Ce  0.3290  0.7488  0.0436  1 Ir 2.63, 2 Ce 2.77-2.80
Pr  0.2880  0.7951  0.6290  1 Ir 2.83
Pr  0.7120  0.2049  0.3710  1 Ir 2.83
Ir  0.4563  0.8142  0.2732  2 Ce 2.63, 1 Ir 2.73, 1 Pr 2.83
Ir  0.5437  0.1858  0.7268  2 Ce 2.63, 1 Ir 2.73, 1 Pr 2.83
Ir  0.7735  0.7184  0.7346  1 Ce 2.62, 1 Ir 2.73
Ir  0.2265  0.2816  0.2654  1 Ce 2.62, 1 Ir 2.73

Space-group type: No. 12
Calculated total energy: -0.530 Ry/atom
Total magnetic moment: 0.200 μB/f.u.
Fermi-level density of states: 1.38 states/eV/atom
Energy of formation from the pure elements: -428 meV per atom

(10)
First-principles (PBE) data for crystalline Ce2Pr3Ir4 at its relaxed geometry, as listed in the Alexandria database.

Unit cell a=4.1010 b=6.7696 c=9.0876 alpha=111.07 beta=90.00 gamma=107.63
Last column: nearest neighbours and their distance in Å.
Fractional positions:
Ce  0.6880  0.3761  0.3276  3 Ir 2.57-2.75
Ce  0.3120  0.6239  0.6724  3 Ir 2.57-2.75
Pr  0.6041  0.2083  0.7086  5 Ir 2.93-3.27
Pr  0.0000  0.0000  0.0000  6 Ir 3.25-3.54
Pr  0.3959  0.7917  0.2914  5 Ir 2.93-3.27
Ir  0.7070  0.4139  0.0565  1 Ce 2.57, 2 Ir 2.71
Ir  0.2930  0.5861  0.9435  1 Ce 2.57, 2 Ir 2.71
Ir  0.9169  0.8339  0.5810  3 Ce 2.75-2.98, 1 Ir 3.02, 2 Pr 3.04
Ir  0.0831  0.1661  0.4190  3 Ce 2.75-2.98, 1 Ir 3.02, 2 Pr 3.04

Space-group type: No. 12
Calculated total energy: -0.546 Ry/atom
Total magnetic moment: 0.000 μB/f.u.
Fermi-level density of states: 0.95 states/eV/atom
Energy of formation from the pure elements: -584 meV per atom

(11)
First-principles (PBE) data for crystalline Ce2Pr2Ir3 at its relaxed geometry, as listed in the Alexandria database.

Unit cell a=4.3709 b=5.8589 c=7.7556 alpha=101.53 beta=106.37 gamma=90.00
Last column: nearest neighbours and their distance in Å.
Fractional positions:
Ce  0.8326  0.6838  0.6651  4 Ir 2.78-2.86
Ce  0.1674  0.3162  0.3349  4 Ir 2.78-2.86
Pr  0.5904  0.8029  0.1808  5 Ir 2.93-3.09
Pr  0.4096  0.1971  0.8192  5 Ir 2.93-3.09
Ir  0.0000  0.0000  0.0000  2 Ce 2.78, 4 Pr 2.93
Ir  0.7673  0.1891  0.5347  3 Ce 2.83-2.86, 3 Pr 3.04-3.09, 2 Ir 3.08
Ir  0.2327  0.8109  0.4653  3 Ce 2.83-2.86, 3 Pr 3.04-3.09, 2 Ir 3.08

Space-group type: No. 12
Calculated total energy: -0.548 Ry/atom
Total magnetic moment: 0.799 μB/f.u.
Fermi-level density of states: 1.48 states/eV/atom
Energy of formation from the pure elements: -603 meV per atom
Energy above the most stable polymorph in this dataset: 0.46 kcal/mol of atoms